A plane-wave DFT calculation with PBE was carried out for a relaxed structure of TaAgRu2.

Computed properties:
Energy of formation = 0.196 eV per atom
Electronic total energy = -8.118 eV per atom
ΔE to the lowest computed polymorph = 126 meV/atom
Symmetry = No. 10
Crystal system = monoclinic
Fermi-level density of states = 3.3 states/eV per cell

Cell: 4.0993 2.8506 5.7726 Å, 72.22 90.00 90.00°
Fractional positions:
Ag  0.5000  0.7500  0.7500
Ru  0.0000  0.4080  0.4901
Ta  0.5000  0.2500  0.2500
Ru  0.0000  0.0920  0.0099